# CrSi2TcMo PBE-GGA relaxed
# Total magnetic moment in μB per formula unit: 5.7
# Formation energy (no corrections) in kJ per mole of atoms: 114.7
# Final energy in hartree per atom: -0.2626
data_CrSi2TcMo
_space_group_name_H-M_alt 'P 4/m m m'
_space_group_IT_number 123
_space_group_name_Hall '-P 4 2'
_cell_length_a 4.537
_cell_length_b 4.537
_cell_length_c 4.556
_cell_angle_alpha 90.00
_cell_angle_beta 90.00
_cell_angle_gamma 90.00
loop_
_atom_site_label
_atom_site_fract_x
_atom_site_fract_y
_atom_site_fract_z
Cr1 0.000 0.000 0.000
Si1 0.000 0.500 0.500
Tc1 0.000 0.000 0.500
Mo1 0.500 0.500 0.000